Entry 1:
Here is a relaxed structure of CrTeW from Alexandria via LeMat-Bulk. Energies are from PBE-GGA.

```
CrTeW
1.0
4.342 0.000 0.000
-2.171 3.760 0.000
0.000 0.000 3.026
Cr Te W
1 1 1
Cartesian
0.000 0.000 0.000
0.000 2.507 0.000
2.171 1.253 1.513
```

Results
ΔE_f (raw) (eV/atom): 0.753
Spin magnetization (μB/cell): 0.00
V (A^3/atom): 16.47
Theoretical density (g cm⁻³): 12.213

---

Entry 2:
Here is a relaxed structure of La8Hg4Ir3Ru from Alexandria via LeMat-Bulk. Energies are from PBE-GGA.

```
La8Hg4Ir3Ru
1.0
7.259 -4.184 0.000
7.259 4.184 0.000
-4.846 0.000 7.982
La Hg Ir Ru
8 4 3 1
Cartesian
-0.030 0.000 5.558
3.640 2.118 5.558
6.032 2.118 2.424
2.417 0.000 2.425
7.255 0.000 5.557
3.640 -2.118 5.558
6.032 -2.118 2.424
9.702 0.000 2.424
0.000 0.000 0.000
3.630 2.092 0.000
3.630 -2.092 0.000
7.259 0.000 0.000
1.206 2.092 3.991
1.206 -2.092 3.991
4.836 0.000 3.991
-2.423 0.000 3.991
```

Results
Spin magnetization (μB/cell): 0.00
V (A^3/atom): 30.31
Theoretical density (g cm⁻³): 8.874
E_form (eV/atom): -0.57

---

Entry 3:
Here is a relaxed structure of RuSN2 from Alexandria via LeMat-Bulk. Energies are from PBE-GGA.

```
RuSN2
1.0
1.396 0.806 6.063
-1.396 0.806 6.063
0.000 -1.612 6.063
Ru S N
1 1 2
Cartesian
0.000 0.000 0.000
0.000 0.000 9.094
0.000 0.000 1.981
0.000 0.000 16.208
```

Results
ΔE_f (raw) (eV/atom): 1.082
Spin magnetization (μB/cell): 0.00
V (A^3/atom): 10.23
Theoretical density (g cm⁻³): 6.541

---

Entry 4:
Here is a relaxed structure of BaZrTe2H from Alexandria via LeMat-Bulk. Energies are from PBE-GGA.

```
BaZrTe2H
1.0
5.697 0.000 0.000
0.000 5.697 0.000
0.000 0.000 3.906
Ba Zr Te H
1 1 2 1
Cartesian
0.000 0.000 0.000
2.849 2.849 0.000
0.000 2.849 1.953
2.849 0.000 1.953
2.849 2.849 1.953
```

Results
Spin magnetization (μB/cell): 0.99
V (A^3/atom): 25.35
Theoretical density (g cm⁻³): 6.350

---

Entry 5:
Here is a relaxed structure of GdTm2In from Alexandria via LeMat-Bulk. Energies are from PBE-GGA.

```
GdTm2In
1.0
0.000 3.817 3.817
3.817 0.000 3.817
3.817 3.817 0.000
Gd Tm In
1 2 1
Cartesian
0.000 0.000 0.000
1.909 1.909 1.909
5.726 5.726 5.726
3.817 3.817 3.817
```

Results
Spin magnetization (μB/cell): 8.33
V (A^3/atom): 27.82
Theoretical density (g cm⁻³): 9.103
E_form (eV/atom): -0.12

---

Entry 6:
Here is a relaxed structure of KTlV2 from Alexandria via LeMat-Bulk. Energies are from PBE-GGA.

```
KTlV2
1.0
0.000 3.564 3.564
3.564 0.000 3.564
3.564 3.564 0.000
K Tl V
1 1 2
Cartesian
0.000 0.000 0.000
3.564 3.564 3.564
1.782 1.782 1.782
5.345 5.345 5.345
```

Results
Spin magnetization (μB/cell): 6.08
V (A^3/atom): 22.63
Theoretical density (g cm⁻³): 6.336
E_form (eV/atom): 1.19

---

Entry 7:
Here is a relaxed structure of VPtC2 from Alexandria via LeMat-Bulk. Energies are from PBE-GGA.

```
VPtC2
1.0
-2.312 2.312 4.620
2.312 -2.312 4.620
2.312 2.312 -4.620
V Pt C
2 2 4
Cartesian
0.000 0.000 0.000
0.000 2.312 2.310
2.312 0.000 2.310
0.000 0.000 4.620
3.468 1.087 -1.155
1.087 1.156 1.155
-1.156 1.225 3.465
1.225 1.156 5.775
```

Results
Spin magnetization (μB/cell): 0.00
V (A^3/atom): 12.35
Theoretical density (g cm⁻³): 9.079
E_form (eV/atom): 0.55

---

Entry 8:
Here is a relaxed structure of Li2CdSn2 from Alexandria via LeMat-Bulk. Energies are from PBE-GGA.

```
Li2CdSn2
1.0
4.936 -2.195 0.000
4.936 2.195 0.000
-4.721 0.000 5.053
Li Cd Sn
2 1 2
Cartesian
-0.924 0.000 1.939
6.075 0.000 3.114
4.936 0.000 0.000
1.972 0.000 1.118
3.179 0.000 3.935
```

Results
Spin magnetization (μB/cell): 0.00
V (A^3/atom): 21.90
Theoretical density (g cm⁻³): 5.517
E_form (eV/atom): -0.20

---

Entry 9:
Here is a relaxed structure of Li3CaPd from Alexandria via LeMat-Bulk. Energies are from PBE-GGA.

```
Li3CaPd
1.0
-2.043 2.043 6.505
2.043 -2.043 6.505
2.043 2.043 -6.505
Li Ca Pd
3 1 1
Cartesian
0.000 0.000 0.000
2.043 0.000 2.157
0.000 2.043 2.157
0.000 0.000 4.826
0.000 0.000 10.419
```

Results
Spin magnetization (μB/cell): 0.00
V (A^3/atom): 21.71
Theoretical density (g cm⁻³): 2.559
E_form (eV/atom): -0.25

---

Entry 10:
Here is a relaxed structure of MgMnZnRu from Alexandria via LeMat-Bulk. Energies are from PBE-GGA.

```
MgMnZnRu
1.0
0.000 3.089 3.089
3.089 0.000 3.089
3.089 3.089 0.000
Mg Mn Zn Ru
1 1 1 1
Cartesian
0.000 0.000 0.000
1.544 1.544 1.544
3.089 3.089 3.089
4.633 4.633 4.633
```

Results
Spin magnetization (μB/cell): 4.12
V (A^3/atom): 14.73
Theoretical density (g cm⁻³): 6.924
E_form (eV/atom): 0.08

---

Entry 11:
Here is a relaxed structure of AcNpBeO5 from Alexandria via LeMat-Bulk. Energies are from PBE-GGA.

```
AcNpBeO5
1.0
3.431 -4.683 0.000
3.431 4.683 0.000
-2.656 0.000 7.157
Ac Np Be O
2 2 2 10
Cartesian
1.439 3.270 5.368
2.767 -3.270 1.789
3.431 0.000 0.000
2.103 0.000 3.578
2.767 2.929 1.789
1.439 -2.929 5.368
-1.186 0.678 6.458
1.729 1.935 2.710
0.142 -0.678 2.880
3.805 1.935 0.868
1.439 0.837 5.368
2.767 -0.837 1.789
0.401 -1.935 6.288
4.065 0.678 4.277
2.477 -1.935 4.447
5.392 -0.678 0.699
```

Results
ΔE_f (raw) (eV/atom): -2.961
Spin magnetization (μB/cell): 4.00
V (A^3/atom): 14.37
Theoretical density (g cm⁻³): 7.986

---

Entry 12:
Here is a relaxed structure of Tb2PuMnN5 from Alexandria via LeMat-Bulk. Energies are from PBE-GGA.

```
Tb2PuMnN5
1.0
1.692 -6.751 0.000
1.692 6.751 0.000
0.000 0.000 10.155
Tb Pu Mn N
4 2 2 10
Cartesian
1.692 5.337 5.078
1.692 4.940 1.153
1.692 -4.940 6.231
1.692 -5.337 0.000
1.692 3.950 8.329
1.692 -3.950 3.251
1.692 0.192 2.763
1.692 -0.192 7.841
1.692 6.148 8.642
1.692 2.931 4.704
1.692 2.432 1.901
1.692 1.676 8.278
1.692 0.143 6.034
1.692 -0.143 0.956
1.692 -1.676 3.200
1.692 -2.432 6.978
1.692 -2.931 9.782
1.692 -6.148 3.564
```

Results
ΔE_f (raw) (eV/atom): -1.051
Spin magnetization (μB/cell): 12.04
V (A^3/atom): 12.89
Theoretical density (g cm⁻³): 9.830

---

Quick rundown of VASP energy, same order as above: -7.82; -5.35; -6.43; -4.65; -6.56; -4.23; -7.85; -2.75; -2.84; -5.25; -8.66; -9.32 eV per atom